No. 1
{"formula": "Zr3TlCd", "functional": "PBEsol", "state": "relaxed", "n_ef_per_ev_atom": 1.006, "crystal_system": "cubic", "sg": "Pm-3m, No. 221", "delta_e_f_ev_per_atom": 1.0687, "final_energy_ev_per_atom": -5.1506, "lattice_angstrom": [[5.257, 0.000, 0.000], [0.000, 5.257, 0.000], [0.000, 0.000, 5.257]], "species": ["Tl", "Zr", "Zr", "Zr", "Cd"], "frac_coords": [[0.000, 0.000, 0.000], [0.000, 0.500, 0.000], [0.000, 0.000, 0.500], [0.500, 0.000, 0.000], [0.500, 0.500, 0.500]]}


No. 2
{"formula": "ZrTlCd2", "functional": "PBEsol", "state": "relaxed", "n_ef_per_ev_atom": 0.404, "crystal_system": "tetragonal", "sg": "P4/mmm, No. 123", "delta_e_f_ev_per_atom": -0.1648, "final_energy_ev_per_atom": -3.6932, "lattice_angstrom": [[4.323, 0.000, 0.000], [0.000, 4.323, 0.000], [0.000, 0.000, 4.479]], "species": ["Tl", "Zr", "Cd", "Cd"], "frac_coords": [[0.500, 0.500, 0.500], [0.000, 0.000, 0.500], [0.000, 0.500, 0.000], [0.500, 0.000, 0.000]]}